The following is a DFT calculation (PBE+U) of a relaxed structure of BeTl2FeF6.

a b c (Å): 5.5557 5.5557 6.1482
angles (deg): 63.14 63.14 90.01
With the nearest neighbours (Å) after each atom.
Positions (direct):
1 F 0.7136 0.2864 0.0000  1 Be 1.68
2 F 0.2862 0.2862 0.0002  1 Be 1.68
3 F 0.7902 0.7901 0.4199  1 Fe 1.99
4 F 0.7138 0.7138 0.9998  1 Be 1.68
5 F 0.2098 0.2099 0.5801  1 Fe 1.99
6 F 0.2864 0.7136 0.0000  1 Be 1.68
7 Tl 0.2500 0.7500 0.5000  12 F 2.80-3.09
8 Tl 0.7500 0.2500 0.5000  12 F 2.80-3.09
9 Fe 0.0000 0.0000 0.0000  2 F 1.99
10 Be 0.5000 0.5000 0.0000  4 F 1.68

Computed properties:
Raw total energy in eV for the cell shown: -48.3
Volume in Å³ per cell: 146.0